Below is a relaxed structure of AlNiAsOs2, with properties calculated at the PBE level.

a = 4.5049 Å, b = 4.5049 Å, c = 4.5955 Å
α = 90.00°, β = 90.00°, γ = 90.00°
Closest atoms and distances in Å follow each position.
Space group P4/mmm (No. 123)
Unique sites:
1 Al 0.0000 0.0000 0.0000 (multiplicity 1)  2 As 2.30
2 Ni 0.5000 0.5000 0.0000 (multiplicity 1)  4 Al 3.19, 8 Os 3.22
3 As 0.0000 0.0000 0.5000 (multiplicity 1)  4 Os 2.25, 2 Al 2.30
4 Os 0.0000 0.5000 0.5000 (multiplicity 2)  2 As 2.25

---

Below is a relaxed structure of AlNi7As2P2, with properties calculated at the PBE level.

a = 3.4880 Å, b = 3.4880 Å, c = 27.2881 Å
α = 90.00°, β = 90.00°, γ = 90.00°
Closest atoms and distances in Å follow each position.
Space group I4/mmm (No. 139)
Unique sites:
1 Al 0.0000 0.0000 0.0000 (multiplicity 2)  12 Ni 2.47-2.56
2 Ni 0.0000 0.0000 0.3022 (multiplicity 4)  1 P 2.20, 1 As 2.41
3 Ni 0.0000 0.0000 0.5000 (multiplicity 2)  4 Al 2.47, 8 Ni 2.56
4 Ni 0.0000 0.5000 0.0685 (multiplicity 8)  2 P 2.19
5 As 0.0000 0.0000 0.2138 (multiplicity 4)  5 Ni 2.41-2.50
6 P 0.0000 0.0000 0.3829 (multiplicity 4)  5 Ni 2.19-2.20

---

Below is a relaxed structure of Pu2AlNi3As4, with properties calculated at the PBE level.

a = 4.2106 Å, b = 4.2106 Å, c = 9.6728 Å
α = 90.00°, β = 90.00°, γ = 90.00°
Closest atoms and distances in Å follow each position.
Space group P-4m2 (No. 115)
Unique sites:
1 Pu 0.0000 0.5000 0.2361 (multiplicity 2)  8 As 3.11-3.19, 7 Ni 3.21-3.37, 2 Al 3.31
2 Al 0.0000 0.0000 0.5000 (multiplicity 1)  4 As 2.54
3 Ni 0.0000 0.5000 0.8872 (multiplicity 2)  5 As 2.33-2.37
4 Ni 0.5000 0.5000 0.5000 (multiplicity 1)  4 As 2.54
5 As 0.0000 0.0000 0.0000 (multiplicity 1)  4 Ni 2.37
6 As 0.0000 0.5000 0.6463 (multiplicity 2)  3 Ni 2.33-2.54, 2 Al 2.54
7 As 0.5000 0.5000 0.0000 (multiplicity 1)  4 Ni 2.37

---

Below is a relaxed structure of AlReNi2As, with properties calculated at the PBE level.

a = 4.2121 Å, b = 4.2121 Å, c = 4.6582 Å
α = 90.00°, β = 90.00°, γ = 90.00°
Closest atoms and distances in Å follow each position.
Space group P4/mmm (No. 123)
Unique sites:
1 Al 0.0000 0.0000 0.0000 (multiplicity 1)  4 Ni 2.11, 2 Re 2.33
2 Re 0.0000 0.0000 0.5000 (multiplicity 1)  2 Al 2.33
3 Ni 0.0000 0.5000 0.0000 (multiplicity 2)  2 Al 2.11
4 As 0.5000 0.5000 0.5000 (multiplicity 1)  4 Re 2.98, 8 Ni 3.14

---

Below is a relaxed structure of AlNi7Sn2As2, with properties calculated at the PBE level.

a = 3.5775 Å, b = 3.5775 Å, c = 29.1829 Å
α = 90.00°, β = 90.00°, γ = 90.00°
Closest atoms and distances in Å follow each position.
Space group I4/mmm (No. 139)
Unique sites:
1 Al 0.0000 0.0000 0.0000 (multiplicity 2)  12 Ni 2.53-2.54
2 Ni 0.0000 0.0000 0.3077 (multiplicity 4)  1 As 2.32, 4 Sn 2.60
3 Ni 0.0000 0.0000 0.5000 (multiplicity 2)  4 Al 2.53, 8 Ni 2.54
4 Ni 0.0000 0.5000 0.0618 (multiplicity 8)  2 As 2.33, 6 Ni 2.53-2.54, 2 Al 2.54
5 Sn 0.0000 0.0000 0.2126 (multiplicity 4)  5 Ni 2.60-2.78
6 As 0.0000 0.0000 0.3872 (multiplicity 4)  5 Ni 2.32-2.33

---

Below is a relaxed structure of TaAl2NiAs, with properties calculated at the PBE level.

a = 4.7432 Å, b = 4.7432 Å, c = 4.2211 Å
α = 90.00°, β = 90.00°, γ = 90.00°
Closest atoms and distances in Å follow each position.
Space group P4/mmm (No. 123)
Unique sites:
1 Ta 0.0000 0.0000 0.0000 (multiplicity 1)  8 Al 3.17, 4 Ni 3.35
2 Al 0.0000 0.5000 0.5000 (multiplicity 2)  2 As 2.37
3 Ni 0.5000 0.5000 0.0000 (multiplicity 1)  2 As 2.11
4 As 0.5000 0.5000 0.5000 (multiplicity 1)  2 Ni 2.11

---

Calculated values (eV per atom) of calculated formation energy for the records, taken in order: 1.56; -0.36; -0.57; 1.10; -0.28; 0.91.
Calculated values (μB per cell) of size of the total moment for the records, taken in order: 1.5; 0.0; 10.8; 1.2; 0.0; 0.0.
Calculated values (eV/atom) of VASP energy for the records, taken in order: -5.7660; -5.7258; -7.4063; -5.3815; -5.4024; -5.0444.